This record from OQMD describes a relaxed AcThB4 crystal. The functional is PBE.

Summary:
Uncorrected energy in eV/atom: -6.53
Total moment in μB per formula unit: 0.008
ΔE to the lowest computed polymorph in meV per atom: 39.5
Crystal system: orthorhombic

Unit cell a=5.4909 b=5.4909 c=5.4909 alpha=144.28 beta=115.47 gamma=76.00
Fractional coordinates of all 6 atoms:
Ac1 0.0000 0.0000 0.0000
Th1 0.5000 0.5000 0.0000
B1 0.0852 0.7521 0.3331
B2 0.4190 0.7521 0.6669
B3 0.5810 0.2479 0.3331
B4 0.9148 0.2479 0.6669